Below is a geometry-optimized La6Co2CuCl3 structure, with properties calculated at the GGA-PBE level.

Lattice parameters (Å, degrees): 9.6951 9.6951 9.0216 110.10 110.10 24.81
Element x y z (fractional)
La 0.0175 0.0175 0.2461
La 0.3174 0.3174 0.4404
La 0.3389 0.3389 0.8860
La 0.6611 0.6611 0.1140
La 0.6826 0.6826 0.5596
La 0.9825 0.9825 0.7539
Co 0.1650 0.1650 0.3310
Co 0.8350 0.8350 0.6690
Cu 0.5000 0.5000 0.0000
Cl 0.1662 0.1662 0.8350
Cl 0.5000 0.5000 0.5000
Cl 0.8338 0.8338 0.1650

Its raw total energy is -5.344 eV per atom. The calculation puts the total magnetic moment at 0.00 μB per atom. The calculation puts the density of states at the Fermi level at 0.822 states/eV/atom. The space group is C2/m.